(1)
BeRe3Ge, optimized geometry, DFT PBE-GGA; total moment = 0.0 μB per cell; ΔE_f = 4.79 eV/f.u.
1.0
4.164 0.000 0.000
0.000 4.164 0.000
0.000 0.000 4.164
Be Re Ge
1 3 1
Cartesian
0.000 0.000 0.000
0.000 0.000 2.082
0.000 2.082 0.000
2.082 0.000 0.000
2.082 2.082 2.082


(2)
BeReGe2, optimized geometry, DFT PBE-GGA; total moment = 0.0 μB per cell; ΔE_f = 1.55 eV/f.u.
1.0
2.992 0.000 0.000
-1.496 2.591 0.000
0.000 0.000 24.845
Be Re Ge
3 3 6
Cartesian
0.000 0.000 0.000
0.000 1.727 16.563
1.496 0.864 8.282
0.000 0.000 12.423
0.000 1.727 4.141
1.496 0.864 20.704
0.000 0.000 2.215
0.000 0.000 22.631
0.000 1.727 14.349
0.000 1.727 18.778
1.496 0.864 6.067
1.496 0.864 10.496


(3)
Be2Re2Ge, optimized geometry, DFT PBE-GGA; total moment = 0.0 μB per cell; ΔE_f = -0.36 eV/f.u.
1.0
5.953 0.000 0.000
0.000 5.953 0.000
0.000 0.000 3.246
Be Re Ge
4 4 2
Cartesian
0.707 2.269 0.000
2.269 5.246 0.000
3.684 0.707 0.000
5.246 3.684 0.000
1.052 4.029 1.623
1.925 1.052 1.623
4.029 4.901 1.623
4.901 1.925 1.623
0.000 0.000 0.000
2.977 2.977 0.000


(4)
BeRe2Ge, optimized geometry, DFT PBE-GGA; total moment = 0.0 μB per cell; ΔE_f = 2.06 eV/f.u.
1.0
3.794 0.000 0.000
0.000 3.794 0.000
0.000 0.000 17.287
Be Re Ge
4 8 4
Cartesian
0.000 0.000 0.000
0.000 1.897 4.322
1.897 0.000 12.965
1.897 1.897 8.643
0.737 0.949 2.161
0.949 2.634 6.482
0.949 3.057 15.126
1.160 0.949 10.804
2.634 2.846 10.804
2.846 0.737 15.126
2.846 1.160 6.482
3.057 2.846 2.161
0.000 0.000 8.643
0.000 1.897 12.965
1.897 0.000 4.322
1.897 1.897 0.000


(5)
BeRe2Ge, optimized geometry, DFT PBE-GGA; total moment = 0.0 μB per cell; ΔE_f = 1.14 eV/f.u.
1.0
5.946 0.000 0.000
0.000 5.946 0.000
0.000 0.000 5.946
Be Re Ge
4 8 4
Cartesian
0.000 0.000 0.000
0.000 2.973 2.973
2.973 0.000 2.973
2.973 2.973 0.000
1.487 1.487 1.487
1.487 1.487 4.460
1.487 4.460 1.487
1.487 4.460 4.460
4.460 1.487 1.487
4.460 1.487 4.460
4.460 4.460 1.487
4.460 4.460 4.460
0.000 0.000 2.973
0.000 2.973 0.000
2.973 0.000 0.000
2.973 2.973 2.973


(6)
BeGeRh, optimized geometry, DFT PBE-GGA; total moment = 0.0 μB per cell; ΔE_f = -0.96 eV/f.u.
1.0
4.396 0.000 0.000
0.000 7.749 0.000
0.000 0.000 4.481
Be Ge Rh
4 4 4
Cartesian
0.000 0.618 1.120
0.000 7.131 3.361
2.198 3.256 3.361
2.198 4.492 1.120
0.000 3.172 1.120
0.000 4.577 3.361
2.198 0.703 3.361
2.198 7.046 1.120
0.000 1.875 3.361
0.000 5.874 1.120
2.198 2.000 1.120
2.198 5.749 3.361


(7)
Be2GeRh2, optimized geometry, DFT PBE-GGA; total moment = 0.0 μB per cell; ΔE_f = -2.04 eV/f.u.
1.0
6.369 0.000 0.000
0.000 6.369 0.000
0.000 0.000 2.883
Be Ge Rh
4 2 4
Cartesian
0.771 2.414 0.000
2.414 5.599 0.000
3.955 0.771 0.000
5.599 3.955 0.000
0.000 0.000 0.000
3.185 3.185 0.000
1.096 4.281 1.441
2.089 1.096 1.441
4.281 5.274 1.441
5.274 2.089 1.441


(8)
BeGe3Rh, optimized geometry, DFT PBE-GGA; total moment = 0.0 μB per cell; ΔE_f = 2.81 eV/f.u.
1.0
4.377 0.000 0.000
0.000 4.377 0.000
0.000 0.000 4.377
Be Ge Rh
1 3 1
Cartesian
0.000 0.000 0.000
0.000 0.000 2.189
0.000 2.189 0.000
2.189 0.000 0.000
2.189 2.189 2.189


(9)
BeGeRh, optimized geometry, DFT PBE-GGA; total moment = 0.0 μB per cell; ΔE_f = 0.50 eV/f.u.
1.0
2.942 0.000 0.000
0.000 2.942 0.000
0.000 0.000 11.415
Be Ge Rh
2 2 2
Cartesian
0.000 0.000 0.000
1.471 1.471 5.707
0.000 0.000 2.239
1.471 1.471 7.946
0.000 0.000 9.326
1.471 1.471 3.619


(10)
Be2GeRh2, optimized geometry, DFT PBE-GGA; total moment = 0.0 μB per cell; ΔE_f = -1.92 eV/f.u.
1.0
3.022 0.000 0.000
0.000 3.022 0.000
0.000 0.000 13.209
Be Ge Rh
4 2 4
Cartesian
0.000 1.511 3.302
0.000 1.511 9.907
1.511 0.000 3.302
1.511 0.000 9.907
0.000 0.000 0.000
1.511 1.511 6.605
0.000 0.000 5.129
0.000 0.000 8.080
1.511 1.511 1.476
1.511 1.511 11.733


(11)
BeGeRh3, optimized geometry, DFT PBE-GGA; total moment = 0.0 μB per cell; ΔE_f = 0.02 eV/f.u.
1.0
4.121 0.000 0.000
0.000 4.121 0.000
0.000 0.000 4.121
Be Ge Rh
1 1 3
Cartesian
0.000 0.000 0.000
2.060 2.060 2.060
0.000 0.000 2.060
0.000 2.060 0.000
2.060 0.000 0.000


(12)
BeGe3Rh, optimized geometry, DFT PBE-GGA; total moment = 0.0 μB per cell; ΔE_f = 3.21 eV/f.u.
1.0
4.769 0.000 0.000
0.000 4.769 0.000
0.000 0.000 4.769
Be Ge Rh
1 3 1
Cartesian
0.000 0.000 0.000
0.000 2.384 2.384
2.384 0.000 2.384
2.384 2.384 0.000
2.384 2.384 2.384


no.,VASP energy (eV for the cell shown)
1,-40.90
2,-71.59
3,-74.64
4,-124.70
5,-128.42
6,-66.62
7,-57.62
8,-22.12
9,-30.40
10,-57.39
11,-30.37
12,-21.72